Material: Pr5ThRh4
Method: DFT, GGA-PBE
State: optimized geometry

Geometry as POSCAR:
```
Pr5ThRh4
1.0
4.210 0.000 0.000
0.000 7.971 -0.642
-2.105 -1.803 8.789
Pr Th Rh
5 1 4
Cartesian
2.105 3.990 5.453
2.105 -0.080 5.768
0.000 6.248 2.379
2.105 3.986 -0.321
0.000 2.178 2.694
2.105 0.000 0.000
0.000 5.878 5.263
2.105 4.187 8.286
2.105 0.290 2.884
0.000 1.981 -0.139
```

Results
The calculation puts the total energy at -6.650 eV per atom. As for the volume: 29.003 A^3/atom. For the density of states at the Fermi level, the calculation gives 6.26 states/eV per cell.

Material: PrThRh
Method: DFT, GGA-PBE
State: optimized geometry

Geometry as POSCAR:
```
PrThRh
1.0
-3.655 0.199 -0.347
-0.020 -3.278 -1.666
1.207 -1.068 6.144
Pr Rh Th
1 1 1
Cartesian
-0.009 -0.037 0.073
-2.078 -2.536 0.956
-0.380 -1.574 3.101
```

Results
The calculation puts the total energy at -6.989 eV per atom. As for the volume: 26.117 A^3/atom. For the density of states at the Fermi level, the calculation gives 3.32 states/eV per cell.

Material: PrThRh4
Method: DFT, GGA-PBE
State: optimized geometry

Geometry as POSCAR:
```
PrThRh4
1.0
-1.696 -2.412 -4.559
-2.764 -4.666 0.263
-5.291 -0.094 -1.215
Pr Rh Th
1 4 1
Cartesian
0.000 0.000 0.000
-3.448 -4.436 -2.837
-4.713 -2.149 -3.576
-6.095 -4.483 -3.444
-5.246 -3.276 -1.164
-2.438 -1.793 -1.378
```

Results
The calculation puts the total energy at -7.631 eV per atom. As for the volume: 18.865 A^3/atom. For the density of states at the Fermi level, the calculation gives 4.21 states/eV per cell.

Material: PrThRh2
Method: DFT, GGA-PBE
State: optimized geometry

Geometry as POSCAR:
```
PrThRh2
1.0
3.650 0.000 -1.338
0.000 4.351 0.000
0.045 0.000 5.839
Pr Th Rh
1 1 2
Cartesian
1.644 2.175 1.905
2.662 0.000 4.736
0.684 2.175 4.971
3.645 0.000 1.724
```

Results
The calculation puts the total energy at -7.540 eV per atom. As for the volume: 23.249 A^3/atom. For the density of states at the Fermi level, the calculation gives 2.28 states/eV per cell.

Material: PrThRh
Method: DFT, GGA-PBE
State: optimized geometry

Geometry as POSCAR:
```
PrThRh
1.0
-2.935 -2.927 -0.842
2.275 -0.240 3.558
-9.704 5.524 4.084
Pr Th Rh
2 2 2
Cartesian
-1.071 -1.334 3.113
-9.294 3.690 3.687
-4.872 -0.577 3.072
-5.492 2.933 3.728
-7.637 1.658 5.006
-2.727 0.698 1.794
```

Results
The calculation puts the total energy at -7.008 eV per atom. As for the volume: 30.039 A^3/atom. For the density of states at the Fermi level, the calculation gives 7.53 states/eV per cell.

Material: PrThRh2
Method: DFT, GGA-PBE
State: optimized geometry

Geometry as POSCAR:
```
PrThRh2
1.0
-2.195 -4.526 0.196
0.942 -3.089 3.862
-3.578 -0.916 3.421
Pr Rh Th
1 2 1
Cartesian
0.000 0.000 0.000
-1.208 -2.133 1.870
-3.624 -6.399 5.609
-2.416 -4.266 3.739
```

Results
The calculation puts the total energy at -7.406 eV per atom. As for the volume: 22.555 A^3/atom. For the density of states at the Fermi level, the calculation gives 2.52 states/eV per cell.

Material: Pr2ThRh9
Method: DFT, GGA-PBE
State: optimized geometry

Geometry as POSCAR:
```
Pr2ThRh9
1.0
5.097 0.000 1.517
2.323 4.537 1.517
-0.041 -0.025 9.458
Pr Th Rh
2 1 9
Cartesian
6.367 3.893 6.571
1.012 0.619 5.921
0.000 0.000 0.000
4.909 3.002 11.470
2.470 1.510 1.022
3.690 2.256 6.246
3.098 1.894 3.581
5.643 1.894 4.338
4.258 4.160 4.338
4.282 2.618 8.911
3.122 0.353 8.154
1.737 2.618 8.154
```

Results
The calculation puts the total energy at -7.478 eV per atom. As for the volume: 18.259 A^3/atom. For the density of states at the Fermi level, the calculation gives 10.60 states/eV per cell.

Material: PrTh2Rh9
Method: DFT, GGA-PBE
State: optimized geometry

Geometry as POSCAR:
```
PrTh2Rh9
1.0
-4.788 -0.201 2.330
-3.911 -2.880 -2.192
-0.311 -8.125 4.753
Pr Th Rh
1 2 9
Cartesian
0.000 0.000 0.000
-7.632 -6.008 2.079
-1.379 -5.198 2.812
-6.113 -10.173 4.840
-2.897 -1.034 0.050
-4.505 -5.603 2.445
-3.701 -3.296 1.234
-6.107 -3.397 2.405
-5.667 -4.743 0.133
-5.309 -7.910 3.656
-3.344 -6.463 4.757
-2.903 -7.809 2.485
```

Results
The calculation puts the total energy at -7.743 eV per atom. As for the volume: 18.242 A^3/atom. For the density of states at the Fermi level, the calculation gives 10.85 states/eV per cell.